Hf2ScB6 after structural relaxation. Source: the Alexandria database, functional PBE.

Computed properties:
E above lowest polymorph: 588 meV per atom
space-group type: Immm, No. 71
size of the total moment: 0.00 μB/f.u.
ΔH_f (0 K): -3.57 eV per formula unit

Cell: 3.304 5.884 5.884 Å, 81.68 73.69 73.69°
Atoms (fractional coordinates):
Hf 0.325 0.175 0.175
Hf 0.675 0.825 0.825
Sc 0.500 0.500 0.500
B 0.197 0.574 0.031
B 0.803 0.426 0.969
B 0.803 0.969 0.426
B 0.000 0.123 0.877
B 0.000 0.877 0.123
B 0.197 0.031 0.574